# 1
This record from Alexandria via LeMat-Bulk describes a geometry-optimized Rb3SbPd structure. The functional is GGA-PBE.

Properties
The value obtained for the relative energy among the computed polymorphs is 0.220 eV per atom. The electronic total energy is -0.0830 Ha/atom. As for the space group: Pm-3m, No. 221. For the density of states at the Fermi level, the calculation gives 0.929 states/eV/atom. The calculated volume comes out at 244.4 Å³/cell.

Cell lengths 6.2526, 6.2526, 6.2526 Å; angles 90.00, 90.00, 90.00 degrees
Last column: magnetic moment on the atom in μB.
Fractional coordinates of all 5 atoms:
Sb (0.5000, 0.5000, 0.5000)  0.46
Rb (0.5000, 0.0000, 0.0000)  0.02
Rb (0.0000, 0.0000, 0.5000)  0.01
Rb (0.0000, 0.5000, 0.0000)  0.02
Pd (0.0000, 0.0000, 0.0000)  0.14


# 2
This record from Alexandria via LeMat-Bulk describes a geometry-optimized FeSiRh2W structure. The functional is GGA-PBE.

Properties
The electronic total energy is -0.2666 Ha/atom. As for the space group: P4/mmm, No. 123. For the density of states at the Fermi level, the calculation gives 1.545 states/eV/atom. The calculated volume comes out at 83.2 Å³/cell.

Cell lengths 4.2730, 4.5584, 4.2730 Å; angles 90.00, 90.00, 90.00 degrees
Last column: magnetic moment on the atom in μB.
Fractional coordinates of all 5 atoms:
Rh (0.0000, 0.0000, 0.5000)  -0.07
Rh (0.5000, 0.0000, 0.0000)  -0.03
Si (0.0000, 0.0000, 0.0000)  -0.01
W (0.0000, 0.5000, 0.0000)  -0.28
Fe (0.5000, 0.5000, 0.5000)  0.28


# 3
This record from Alexandria via LeMat-Bulk describes a geometry-optimized Tb2Pr2SmY2 structure. The functional is GGA-PBE.

Properties
The value obtained for the formation energy is 106 kJ/mol of formula units. The electronic total energy is -0.1857 Ha/atom. As for the space group: C2/m, No. 12. For the density of states at the Fermi level, the calculation gives 1.931 states/eV/atom. The calculated volume comes out at 240.9 Å³/cell.

Cell lengths 3.5030, 12.3850, 12.0127 Å; angles 151.09, 90.00, 98.13 degrees
Fractional coordinates of all 7 atoms:
Y (0.5915, 0.1829, 0.4047)
Y (0.4085, 0.8171, 0.5953)
Tb (0.6561, 0.3122, 0.2405)
Tb (0.3439, 0.6878, 0.7595)
Sm (0.0000, 0.0000, 0.5000)
Pr (0.7035, 0.4069, 0.0406)
Pr (0.2965, 0.5931, 0.9594)


# 4
This record from Alexandria via LeMat-Bulk describes a geometry-optimized SiRhPb structure. The functional is GGA-PBE.

Properties
The electronic total energy is -0.2062 Ha/atom. As for the space group: Imm2, No. 44. For the density of states at the Fermi level, the calculation gives 0.550 states/eV/atom. The calculated volume comes out at 58.5 Å³/cell.

Cell lengths 6.2200, 6.2200, 6.2200 Å; angles 150.54, 150.31, 42.32 degrees
Fractional coordinates of all 3 atoms:
Pb (0.9954, 0.9954, 0.0000)
Rh (0.2940, 0.2940, 0.0000)
Si (0.7106, 0.7106, 0.0000)


# 5
This record from Alexandria via LeMat-Bulk describes a geometry-optimized Na3CaB structure. The functional is GGA-PBE.

Properties
The value obtained for the relative energy among the computed polymorphs is 0.000 eV per atom. The value obtained for the formation energy is 339 kJ/mol of formula units. The electronic total energy is -0.0671 Ha/atom. As for the space group: Pm-3m, No. 221. For the density of states at the Fermi level, the calculation gives 0.620 states/eV/atom. The calculated volume comes out at 147.1 Å³/cell.

Cell lengths 5.2787, 5.2787, 5.2787 Å; angles 90.00, 90.00, 90.00 degrees
Last column: magnetic moment on the atom in μB.
Fractional coordinates of all 5 atoms:
Na (0.0000, 0.5000, 0.0000)  0.00
Na (0.0000, 0.0000, 0.5000)  0.01
Na (0.5000, 0.0000, 0.0000)  0.00
Ca (0.5000, 0.5000, 0.5000)  -0.02
B (0.0000, 0.0000, 0.0000)  0.18


# 6
This record from Alexandria via LeMat-Bulk describes a geometry-optimized LiSc2IrC structure. The functional is GGA-PBE.

Properties
The value obtained for the formation energy is -223 kJ/mol of formula units. The electronic total energy is -0.2571 Ha/atom. As for the space group: P4/mmm, No. 123. For the density of states at the Fermi level, the calculation gives 0.379 states/eV/atom. The calculated volume comes out at 82.5 Å³/cell.

Cell lengths 4.6062, 4.6062, 3.8872 Å; angles 90.00, 90.00, 90.00 degrees
Fractional coordinates of all 5 atoms:
Li (0.5000, 0.5000, 0.5000)
Sc (0.5000, 0.0000, 0.0000)
Sc (0.0000, 0.5000, 0.0000)
Ir (0.0000, 0.0000, 0.5000)
C (0.0000, 0.0000, 0.0000)


# 7
This record from Alexandria via LeMat-Bulk describes a geometry-optimized MgSeCl structure. The functional is GGA-PBE.

Properties
The electronic total energy is -0.1101 Ha/atom. As for the space group: F-43m, No. 216. For the density of states at the Fermi level, the calculation gives 1.070 states/eV/atom. The calculated volume comes out at 69.7 Å³/cell.

Cell lengths 4.6198, 4.6198, 4.6198 Å; angles 60.00, 60.00, 60.00 degrees
Last column: magnetic moment on the atom in μB.
Fractional coordinates of all 3 atoms:
Se (0.0000, 0.0000, 0.0000)  0.35
Cl (0.5000, 0.5000, 0.5000)  0.23
Mg (0.7500, 0.7500, 0.7500)  0.00


# 8
This record from Alexandria via LeMat-Bulk describes a geometry-optimized CrPdI2N structure. The functional is GGA-PBE.

Properties
The value obtained for the relative energy among the computed polymorphs is 0.000 eV per atom. The electronic total energy is -0.1804 Ha/atom. As for the space group: P4/mmm, No. 123. For the density of states at the Fermi level, the calculation gives 0.724 states/eV/atom. The calculated volume comes out at 108.1 Å³/cell.

Cell lengths 5.5001, 5.5001, 3.5748 Å; angles 90.00, 90.00, 90.00 degrees
Last column: magnetic moment on the atom in μB.
Fractional coordinates of all 5 atoms:
I (0.0000, 0.5000, 0.0000)  -0.14
I (0.5000, 0.0000, 0.0000)  -0.14
Pd (0.5000, 0.5000, 0.5000)  -0.33
N (0.0000, 0.0000, 0.5000)  -0.38
Cr (0.0000, 0.0000, 0.0000)  2.17


# 9
This record from Alexandria via LeMat-Bulk describes a geometry-optimized NaRuRh structure. The functional is GGA-PBE.

Properties
The value obtained for the relative energy among the computed polymorphs is 0.242 eV per atom. The value obtained for the formation energy is 155 kJ/mol of formula units. The electronic total energy is -0.2002 Ha/atom. As for the space group: P4/nmm, No. 129. For the density of states at the Fermi level, the calculation gives 1.147 states/eV/atom. The calculated volume comes out at 110.8 Å³/cell.

Cell lengths 3.6970, 3.6970, 8.1069 Å; angles 90.00, 90.00, 90.00 degrees
Fractional coordinates of all 6 atoms:
Rh (0.5000, 0.0000, 0.7237)
Rh (0.0000, 0.5000, 0.2763)
Na (0.0000, 0.5000, 0.8722)
Na (0.5000, 0.0000, 0.1278)
Ru (0.0000, 0.0000, 0.5000)
Ru (0.5000, 0.5000, 0.5000)


# 10
This record from Alexandria via LeMat-Bulk describes a geometry-optimized HgSbTe2Cl structure. The functional is GGA-PBE.

Properties
The value obtained for the relative energy among the computed polymorphs is 0.000 eV per atom. The electronic total energy is -0.0692 Ha/atom. As for the space group: P4/mmm, No. 123. For the density of states at the Fermi level, the calculation gives 1.073 states/eV/atom. The calculated volume comes out at 178.1 Å³/cell.

Cell lengths 5.5854, 5.5854, 5.7074 Å; angles 90.00, 90.00, 90.00 degrees
Fractional coordinates of all 5 atoms:
Te (0.0000, 0.5000, 0.0000)
Te (0.5000, 0.0000, 0.0000)
Hg (0.0000, 0.0000, 0.0000)
Cl (0.5000, 0.5000, 0.5000)
Sb (0.0000, 0.0000, 0.5000)


# 11
This record from Alexandria via LeMat-Bulk describes a geometry-optimized KTePt2 structure. The functional is GGA-PBE.

Properties
The electronic total energy is -0.1426 Ha/atom. As for the space group: Cmmm, No. 65. For the density of states at the Fermi level, the calculation gives 0.470 states/eV/atom. The calculated volume comes out at 83.5 Å³/cell.

Cell lengths 5.1726, 5.1726, 3.1934 Å; angles 90.00, 90.00, 102.37 degrees
Fractional coordinates of all 4 atoms:
K (0.0000, 0.5000, 0.5000)
Pt (0.5000, 0.5000, 0.0000)
Pt (0.0000, 0.0000, 0.0000)
Te (0.5000, 0.0000, 0.5000)


# 12
This record from Alexandria via LeMat-Bulk describes a geometry-optimized Ac2MgSe structure. The functional is GGA-PBE.

Properties
The value obtained for the relative energy among the computed polymorphs is 0.237 eV per atom. The electronic total energy is -0.1405 Ha/atom. As for the space group: R-3m, No. 166. For the density of states at the Fermi level, the calculation gives 1.094 states/eV/atom. The calculated volume comes out at 164.4 Å³/cell.

Cell lengths 4.1318, 4.1318, 11.3707 Å; angles 79.53, 79.53, 60.00 degrees
Fractional coordinates of all 4 atoms:
Mg (0.0000, 0.0000, 0.0000)
Ac (0.8923, 0.8923, 0.3231)
Ac (0.1077, 0.1077, 0.6769)
Se (0.5000, 0.5000, 0.5000)